(1)
DFT (PBE) results for crystalline Ba2LaFe at its relaxed geometry.

Calculated values
N(E_F) (states/eV per atom): 2.3593
ΔE_f (eV/atom): 0.64
M_tot (μB per formula unit): 2.5
Excess energy over the best structure of this formula in the dataset (eV/atom): 0.333
Crystal system: trigonal

abc: 3.9896 3.9896 34.1717
angles: 90.00 90.00 120.00
Space group R-3m (No. 166, hexagonal axes)
Asymmetric unit:
1 Ba 0.0000 0.0000 0.2308
2 La 0.0000 0.0000 0.0000
3 Fe 0.0000 0.0000 0.5000

---

(2)
DFT (PBE) results for crystalline LaNdGdTh at its relaxed geometry.

Calculated values
N(E_F) (states/eV per atom): 2.2334
ΔE_f (eV/atom): 0.18
M_tot (μB per formula unit): 8.6
Crystal system: cubic

abc: 8.180 8.180 8.180
angles: 90.00 90.00 90.00
Space group F-43m (No. 216)
Asymmetric unit:
1 La 0.000 0.000 0.000
2 Nd 0.250 0.250 0.750
3 Gd 0.000 0.000 0.500
4 Th 0.250 0.250 0.250

---

(3)
DFT (PBE) results for crystalline PuBe2 at its relaxed geometry.

Calculated values
N(E_F) (states/eV per atom): 1.6176
ΔE_f (eV/atom): 0.11
M_tot (μB per formula unit): 4.9
Crystal system: cubic

abc: 6.907 6.907 6.907
angles: 90.00 90.00 90.00
Space group Fd-3m (No. 227, origin choice 2)
Asymmetric unit:
1 Pu 0.125 0.125 0.125
2 Be 0.000 0.000 0.500

---

no.,raw total energy (eV/atom)
1,-3.67
2,-7.62
3,-7.15